# 1
The following is a PBE calculation of a relaxed SrIn2CuPb crystal, from the Alexandria database.

Cell lengths 5.125, 5.125, 5.530 Å; angles 90.00, 90.00, 90.00 degrees
Element x y z (fractional)
Sr: 0.000 0.000 0.000
In: 0.000 0.500 0.500
In: 0.500 0.000 0.500
Cu: 0.500 0.500 0.500
Pb: 0.500 0.500 0.000

Computed properties:
Space-group type ... P4/mmm (123)
Energy relative to the elements ... -0.5 eV/f.u.
Calculated density ... 6.72 Mg/m³
Crystal system ... tetragonal
Calculated volume ... 29.05 A^3/atom
E ... -3.084 eV per atom

=====

# 2
The following is a PBE calculation of a relaxed TlRe2PtAu crystal, from the Alexandria database.

Cell lengths 4.851, 4.851, 5.160 Å; angles 90.00, 90.00, 90.00 degrees
Element x y z (fractional)
Tl: 0.000 0.000 0.000
Re: 0.000 0.500 0.500
Re: 0.500 0.000 0.500
Pt: 0.500 0.500 0.500
Au: 0.500 0.500 0.000

Computed properties:
Space-group type ... P4/mmm (123)
Energy relative to the elements ... 8.9 eV/f.u.
Calculated density ... 13.25 Mg/m³
Crystal system ... tetragonal
Calculated volume ... 24.28 A^3/atom
E ... -5.532 eV per atom

=====

# 3
The following is a PBE calculation of a relaxed ErScZn4 crystal, from the Alexandria database.

Cell lengths 5.340, 5.340, 5.340 Å; angles 60.00, 60.00, 60.00 degrees
Element x y z (fractional)
Er: 0.000 0.000 0.000
Sc: 0.250 0.250 0.250
Zn: 0.126 0.625 0.625
Zn: 0.625 0.126 0.625
Zn: 0.625 0.625 0.126
Zn: 0.625 0.625 0.625

Computed properties:
Space-group type ... F-43m (216)
Energy relative to the elements ... -2.0 eV/f.u.
Calculated density ... 7.31 Mg/m³
Crystal system ... cubic
E above lowest polymorph ... 31 meV per atom
Calculated volume ... 17.95 A^3/atom
E ... -2.995 eV per atom

=====

# 4
The following is a PBE calculation of a relaxed TaSb5 crystal, from the Alexandria database.

Cell lengths 8.432, 8.432, 3.652 Å; angles 90.00, 90.00, 143.69 degrees
Element x y z (fractional)
Ta: 0.000 0.000 0.000
Sb: 0.143 0.857 0.500
Sb: 0.345 0.655 0.000
Sb: 0.500 0.500 0.500
Sb: 0.655 0.345 0.000
Sb: 0.857 0.143 0.500

Computed properties:
Space-group type ... Cmmm (65)
E_form (uncorrected) ... 0.284 eV per atom
Calculated density ... 8.53 Mg/m³
Crystal system ... orthorhombic
E above lowest polymorph ... 136 meV per atom
Calculated volume ... 25.63 A^3/atom
E ... -5.127 eV per atom

=====

# 5
The following is a PBE calculation of a relaxed PrB3Pt6 crystal, from the Alexandria database.

Cell lengths 5.657, 5.670, 5.839 Å; angles 110.59, 90.66, 119.43 degrees
Element x y z (fractional)
Pr: 0.000 0.000 0.000
B: 0.131 0.241 0.517
B: 0.349 0.734 0.145
B: 0.703 0.414 0.163
Pt: 0.098 0.581 0.392
Pt: 0.468 0.947 0.871
Pt: 0.473 0.451 0.876
Pt: 0.480 0.187 0.394
Pt: 0.711 0.816 0.404
Pt: 0.956 0.405 0.812

Computed properties:
Space-group type ... P1 (1)
Energy relative to the elements ... -4.5 eV/f.u.
Calculated density ... 15.00 Mg/m³
Crystal system ... triclinic
Calculated volume ... 14.88 A^3/atom
E ... -6.552 eV per atom

=====

# 6
The following is a PBE calculation of a relaxed Rb2Tl2SeO4 crystal, from the Alexandria database.

Cell lengths 6.277, 6.277, 6.277 Å; angles 117.77, 117.77, 93.91 degrees
Element x y z (fractional)
Rb: 0.250 0.750 0.500
Rb: 0.750 0.250 0.500
Tl: 0.163 0.163 0.000
Tl: 0.837 0.837 0.000
Se: 0.500 0.500 0.000
O: 0.291 0.291 0.581
O: 0.291 0.709 0.000
O: 0.709 0.291 0.000
O: 0.709 0.709 0.419

Computed properties:
Space-group type ... I4/mmm (139)
E_form (uncorrected) ... -0.561 eV per atom
Calculated density ... 6.66 Mg/m³
Crystal system ... tetragonal
Calculated volume ... 20.03 A^3/atom
E ... -3.892 eV per atom

=====

# 7
The following is a PBE calculation of a relaxed NaPmI crystal, from the Alexandria database.

Cell lengths 15.283, 3.975, 3.975 Å; angles 60.06, 90.00, 90.00 degrees
Element x y z (fractional)
Na: 0.139 0.000 0.000
Na: 0.861 0.000 0.000
Pm: 0.349 0.337 0.337
Pm: 0.651 0.337 0.337
I: 0.000 0.333 0.333
I: 0.500 0.004 0.004

Computed properties:
Space-group type ... Amm2 (38)
E_form (uncorrected) ... -0.480 eV per atom
Calculated density ... 4.68 Mg/m³
Crystal system ... orthorhombic
Calculated volume ... 34.88 A^3/atom
E ... -3.020 eV per atom

=====

# 8
The following is a PBE calculation of a relaxed Tb2Nd4YEr2 crystal, from the Alexandria database.

Cell lengths 9.535, 9.535, 8.841 Å; angles 90.02, 90.02, 21.79 degrees
Element x y z (fractional)
Tb: 0.111 0.111 0.172
Tb: 0.889 0.889 0.828
Nd: 0.223 0.223 0.829
Nd: 0.445 0.445 0.168
Nd: 0.555 0.555 0.832
Nd: 0.777 0.777 0.171
Y: 0.000 0.000 0.500
Er: 0.333 0.333 0.501
Er: 0.667 0.667 0.499

Computed properties:
Space-group type ... C2/m (12)
Energy relative to the elements ... 0.2 eV/f.u.
Calculated density ... 7.34 Mg/m³
Crystal system ... monoclinic
Calculated volume ... 33.15 A^3/atom
E ... -4.862 eV per atom

=====

> calculated volume of number 8 (Tb2Nd4YEr2)?

33.15 A^3/atom

=====

Please write out number 1 again, unchanged.
The following is a PBE calculation of a relaxed SrIn2CuPb crystal, from the Alexandria database.

Cell lengths 5.125, 5.125, 5.530 Å; angles 90.00, 90.00, 90.00 degrees
Element x y z (fractional)
Sr: 0.000 0.000 0.000
In: 0.000 0.500 0.500
In: 0.500 0.000 0.500
Cu: 0.500 0.500 0.500
Pb: 0.500 0.500 0.000

Computed properties:
Space-group type ... P4/mmm (123)
Energy relative to the elements ... -0.5 eV/f.u.
Calculated density ... 6.72 Mg/m³
Crystal system ... tetragonal
Calculated volume ... 29.05 A^3/atom
E ... -3.084 eV per atom

=====

> Number 2 is which compound?

TlRe2PtAu

=====

> Among the records above, which one has the lowest E?

PrB3Pt6